A relaxed Mn2CrGeO6 crystal. Source: Alexandria, functional GGA+U.

Values from the calculation:
V (Å³ per cell): 104
Final energy (eV per atom): -7.2542
Symmetry: P1

a b c (Å): 5.1028 5.1156 5.4508
angles (deg): 62.24 62.25 59.91
Closest atoms and distances in Å follow each position.
Element x y z (fractional)
Cr  0.8137  0.8119  0.5610  6 O 2.00-2.11
Mn  0.0124  0.0102  0.9676  6 O 1.97-2.02
Mn  0.5328  0.5321  0.4022  6 O 2.10-2.32
O  0.4154  0.7120  0.7740  1 Ge 1.98, 1 Mn 2.00, 1 Cr 2.01
O  0.1909  0.9643  0.2434  1 Ge 1.91, 2 Mn 1.97-2.11, 1 Cr 2.11
O  0.9626  0.5992  0.2452  1 Ge 1.90, 2 Mn 2.00-2.10, 1 Cr 2.10
O  0.7108  0.1008  0.7729  1 Ge 1.97, 1 Cr 2.01, 1 Mn 2.01
O  0.5998  0.1930  0.2441  1 Ge 1.91, 2 Mn 1.99-2.10, 1 Cr 2.11
O  0.1034  0.4151  0.7707  1 Ge 1.96, 1 Cr 2.00, 1 Mn 2.02
Ge  0.3200  0.3230  0.0342  6 O 1.90-1.98